[1]
Here is a relaxed NaMg4In crystal from Alexandria via LeMat-Bulk. Energies are from PBE.

Cell lengths 6.000, 6.000, 6.000 Å; angles 60.00, 60.00, 60.00 degrees
Element x y z (fractional)
Na 0.000 0.000 0.000
Mg 0.126 0.625 0.625
Mg 0.625 0.126 0.625
Mg 0.625 0.625 0.126
Mg 0.625 0.625 0.625
In 0.250 0.250 0.250

Properties
Energy of formation from the pure elements = 0.06 eV/atom

***

[2]
Here is a relaxed Er5Si2Hg crystal from Alexandria via LeMat-Bulk. Energies are from PBE.

Cell lengths 8.788, 8.788, 8.788 Å; angles 129.40, 129.40, 74.37 degrees
Element x y z (fractional)
Er 0.000 0.000 0.000
Er 0.029 0.529 0.838
Er 0.191 0.029 0.500
Er 0.309 0.809 0.838
Er 0.471 0.309 0.500
Er 0.500 0.500 0.000
Er 0.529 0.691 0.500
Er 0.691 0.191 0.162
Er 0.809 0.971 0.500
Er 0.971 0.471 0.162
Si 0.128 0.372 0.500
Si 0.372 0.872 0.245
Si 0.628 0.128 0.755
Si 0.872 0.628 0.500
Hg 0.250 0.250 0.000
Hg 0.750 0.750 0.000

Properties
Formation energy without anion corrections = -4.755 eV per formula unit